1.
AcCuO3 | meta-GGA SCAN | PBEsol geometry

Unit cell a=3.8853 b=3.8853 c=3.8853 alpha=90.00 beta=90.00 gamma=90.00
With the nearest neighbours (Å) after each atom.
Fractional coordinates of all 5 atoms:
1 Ac 0.0000 0.0000 0.0000  12 O 2.75
2 Cu 0.5000 0.5000 0.5000  6 O 1.94
3 O 0.0000 0.5000 0.5000  2 Cu 1.94
4 O 0.5000 0.0000 0.5000  2 Cu 1.94
5 O 0.5000 0.5000 0.0000  2 Cu 1.94

The total energy is -27.178 eV per atom. The calculated density is 9.58 g cm⁻³. For the raw formation energy, the calculation gives -2.3041 eV/atom. The density of states at the Fermi level is 0.141 states/eV/atom.

2.
PrIn2Pt2 | meta-GGA SCAN | PBEsol geometry

Unit cell a=10.1528 b=4.4723 c=10.1685 alpha=90.00 beta=116.88 gamma=90.00
With the nearest neighbours (Å) after each atom.
Fractional coordinates of all 20 atoms:
1 Pr 0.2103 0.2500 0.4499  7 Pt 2.99-3.18, 2 In 3.31-3.35
2 Pr 0.2892 0.2500 0.0965  5 Pt 2.90-3.22
3 Pr 0.7108 0.7500 0.9035  5 Pt 2.90-3.22
4 Pr 0.7897 0.7500 0.5501  7 Pt 2.99-3.18, 2 In 3.31-3.35
5 In 0.0408 0.7500 0.9054  4 Pt 2.74-2.78
6 In 0.1040 0.2500 0.7267  6 Pt 2.73-2.91
7 In 0.4244 0.7500 0.3804  4 Pt 2.70-2.87
8 In 0.4480 0.2500 0.8535  5 Pt 2.76-2.93
9 In 0.5520 0.7500 0.1465  5 Pt 2.76-2.93
10 In 0.5756 0.2500 0.6196  4 Pt 2.70-2.87
11 In 0.8960 0.7500 0.2733  6 Pt 2.73-2.91
12 In 0.9592 0.2500 0.0946  4 Pt 2.74-2.78
13 Pt 0.1011 0.7500 0.5705  3 In 2.73-2.79, 4 Pt 2.81-2.93, 2 Pr 2.99
14 Pt 0.1300 0.7500 0.2038  5 In 2.70-2.77
15 Pt 0.2981 0.7500 0.8733  6 In 2.76-2.91, 2 Pt 2.81-2.96
16 Pt 0.4173 0.7500 0.6557  5 In 2.83-2.93, 3 Pr 2.90-3.13, 2 Pt 2.92-2.96
17 Pt 0.5827 0.2500 0.3443  5 In 2.83-2.93, 3 Pr 2.90-3.13, 2 Pt 2.92-2.96
18 Pt 0.7019 0.2500 0.1267  6 In 2.76-2.91, 2 Pt 2.81-2.96
19 Pt 0.8700 0.2500 0.7962  5 In 2.70-2.77
20 Pt 0.8989 0.2500 0.4295  3 In 2.73-2.79, 4 Pt 2.81-2.93, 2 Pr 2.99

The total energy is -51.034 eV per atom. The calculated density is 12.27 g cm⁻³. The energy relative to the elements comes out at -4.69 eV per formula unit. The density of states at the Fermi level is 0.366 states/eV/atom.

3.
SrCuSCl2 | meta-GGA SCAN | PBEsol geometry

Unit cell a=4.6626 b=4.6626 c=4.7254 alpha=90.00 beta=90.00 gamma=90.00
With the nearest neighbours (Å) after each atom.
Fractional coordinates of all 5 atoms:
1 Sr 0.0000 0.0000 0.0000  4 S 3.30, 8 Cl 3.32
2 Cu 0.5000 0.5000 0.5000  4 Cl 2.33, 2 S 2.36
3 S 0.5000 0.5000 0.0000  2 Cu 2.36
4 Cl 0.0000 0.5000 0.5000  2 Cu 2.33
5 Cl 0.5000 0.0000 0.5000  2 Cu 2.33

The total energy is -13.989 eV per atom. The calculated density is 4.11 g cm⁻³. For the raw formation energy, the calculation gives -1.3776 eV/atom. The density of states at the Fermi level is 0.231 states/eV/atom.

4.
YMgTe2 | meta-GGA SCAN | PBEsol geometry

Unit cell a=5.2834 b=5.2834 c=5.2834 alpha=60.00 beta=60.00 gamma=60.00
With the nearest neighbours (Å) after each atom.
Fractional coordinates of all 4 atoms:
1 Y 0.0000 0.0000 0.0000  8 Te 3.24
2 Mg 0.5000 0.5000 0.5000  8 Te 3.24
3 Te 0.2500 0.2500 0.2500  4 Mg 3.24, 4 Y 3.24
4 Te 0.7500 0.7500 0.7500  4 Mg 3.24, 4 Y 3.24

The total energy is -27.679 eV per atom. The calculated density is 5.87 g cm⁻³. For the raw formation energy, the calculation gives -0.8488 eV/atom. The polymorph energy (0 for the lowest one) comes out at 1.323 eV/f.u. The density of states at the Fermi level is 0.551 states/eV/atom.

5.
CaScMo2 | meta-GGA SCAN | PBEsol geometry

Unit cell a=2.9763 b=2.9763 c=9.8363 alpha=90.00 beta=90.00 gamma=112.61
With the nearest neighbours (Å) after each atom.
Fractional coordinates of all 4 atoms:
1 Ca 0.0000 0.0000 0.0000  6 Ca 2.98-3.30, 2 Mo 3.06
2 Sc 0.5000 0.5000 0.3202  2 Mo 2.78, 4 Sc 2.98
3 Mo 0.0000 0.0000 0.5474  2 Mo 2.50, 2 Sc 2.78
4 Mo 0.5000 0.5000 0.7383  2 Mo 2.50

The total energy is -22.969 eV per atom. The calculated density is 5.72 g cm⁻³. The energy relative to the elements comes out at 1.80 eV per formula unit. The polymorph energy (0 for the lowest one) comes out at 0.000 eV/f.u. The density of states at the Fermi level is 1.052 states/eV/atom.

6.
Ca4ErB3O10 | meta-GGA SCAN | PBEsol geometry

Unit cell a=8.9127 b=8.9127 c=3.4885 alpha=94.95 beta=94.95 gamma=126.46
With the nearest neighbours (Å) after each atom.
Fractional coordinates of all 18 atoms:
1 Ca 0.1116 0.8884 0.0000  6 O 2.29-2.34
2 Ca 0.4365 0.8022 0.3239  5 O 2.31-2.45
3 Ca 0.8022 0.4365 0.3239  5 O 2.31-2.45
4 Ca 0.8884 0.1116 0.0000  6 O 2.29-2.34
5 Er 0.3623 0.3623 0.6769  6 O 2.19-2.34
6 B 0.1136 0.5007 0.7535  3 O 1.38-1.39
7 B 0.5007 0.1136 0.7535  3 O 1.38-1.39
8 B 0.7296 0.7296 0.3717  3 O 1.38-1.39
9 O 0.0624 0.5993 0.9547  1 B 1.38
10 O 0.1924 0.1924 0.0993  2 Er 2.19-2.21, 2 Ca 2.34
11 O 0.3035 0.5817 0.7474  1 B 1.39
12 O 0.3202 0.9731 0.5552  1 B 1.38
13 O 0.5538 0.5538 0.2745  1 B 1.39
14 O 0.5817 0.3035 0.7474  1 B 1.39
15 O 0.5993 0.0624 0.9547  1 B 1.38
16 O 0.7416 0.8921 0.4203  1 B 1.38
17 O 0.8921 0.7416 0.4203  1 B 1.38
18 O 0.9731 0.3202 0.5552  1 B 1.38

The total energy is -12.915 eV per atom. The calculated density is 3.95 g cm⁻³. For the raw formation energy, the calculation gives -3.2712 eV/atom. The density of states at the Fermi level is 0.000 states/eV/atom.

> Which value of calculated density does entry 5 give?

5.72 g cm⁻³